# InMo2Os

An optimized crystal structure of InMo2Os (PBE, the Alexandria database).

Values from the calculation:
* V: 303.4 Å³ per cell
* total DFT energy (no corrections): -8.12 eV/atom
* density: 10.88 g/cm3
* E_form: 0.786 eV/atom

Structure (CIF):
```
data_InMo2Os
_chemical_formula_sum 'In4 Mo8 Os4'
_cell_length_a 7.489
_cell_length_b 7.489
_cell_length_c 5.410
_cell_angle_alpha 90.00
_cell_angle_beta 90.00
_cell_angle_gamma 90.00
_symmetry_space_group_name_H-M 'I -4 2 d'
_symmetry_Int_Tables_number 122
_symmetry_space_group_name_Hall 'I -4 2bw'
loop_
_atom_site_label
_atom_site_type_symbol
_atom_site_fract_x
_atom_site_fract_y
_atom_site_fract_z
In1 In 0.000 0.000 0.000
Mo1 Mo 0.198 0.750 0.625
Os1 Os 0.000 0.000 0.500
```